No. 1
A plane-wave DFT calculation with PBE-GGA was carried out for a relaxed Ba8Bi2Sb3 crystal. Values from VASP.

Results
total magnetic moment: 0.82 μB/cell
formation energy (no corrections): -19.512 kcal/mol of atoms
Fermi-level density of states: 0.203 states/eV/atom

```
&SYSTEM
  ibrav = 0, nat = 13, ntyp = 3
/
ATOMIC_SPECIES
Ba 137.33 Ba.upf
Bi 208.98 Bi.upf
Sb 121.76 Sb.upf
ATOMIC_POSITIONS angstrom
Ba 4.202 5.422 3.097
Ba 5.909 10.462 3.018
Ba 6.482 7.296 7.986
Ba 8.249 12.605 7.981
Ba 7.336 1.586 0.882
Ba 9.102 6.895 0.877
Ba 9.675 3.729 5.845
Ba 11.382 8.769 5.766
Bi 5.705 10.484 6.571
Bi 9.880 3.707 2.292
Sb 3.812 5.630 6.515
Sb 4.329 0.000 0.000
Sb 11.773 8.561 2.348
CELL_PARAMETERS angstrom
8.659 0.000 0.000
3.205 9.925 0.000
3.721 4.266 8.863
```

***

No. 2
A plane-wave DFT calculation with PBE-GGA was carried out for a relaxed BaBi3Sb3 crystal. Values from VASP.

Results
total magnetic moment: 0.00 μB/cell
formation energy (no corrections): 1.927 kcal/mol of atoms
Fermi-level density of states: 0.433 states/eV/atom

```
&SYSTEM
  ibrav = 0, nat = 14, ntyp = 3
/
ATOMIC_SPECIES
Ba 137.33 Ba.upf
Bi 208.98 Bi.upf
Sb 121.76 Sb.upf
ATOMIC_POSITIONS angstrom
Ba 0.000 0.000 0.000
Ba 4.326 4.326 4.326
Bi 0.000 2.163 4.326
Bi 0.000 6.489 4.326
Bi 2.163 4.326 0.000
Bi 4.326 0.000 2.163
Bi 4.326 0.000 6.489
Bi 6.489 4.326 0.000
Sb 0.000 4.326 2.163
Sb 0.000 4.326 6.489
Sb 2.163 0.000 4.326
Sb 4.326 2.163 0.000
Sb 4.326 6.489 0.000
Sb 6.489 0.000 4.326
CELL_PARAMETERS angstrom
8.652 0.000 0.000
0.000 8.652 0.000
0.000 0.000 8.652
```

***

No. 3
A plane-wave DFT calculation with PBE-GGA was carried out for a relaxed BaBiSb4 crystal. Values from VASP.

Results
total magnetic moment: 0.00 μB/cell
formation energy (no corrections): -3.797 kcal/mol of atoms
Fermi-level density of states: 0.946 states/eV/atom

```
&SYSTEM
  ibrav = 0, nat = 6, ntyp = 3
/
ATOMIC_SPECIES
Ba 137.33 Ba.upf
Bi 208.98 Bi.upf
Sb 121.76 Sb.upf
ATOMIC_POSITIONS angstrom
Ba 0.000 0.000 0.000
Bi 6.849 6.849 6.849
Sb 3.469 3.469 3.469
Sb 5.664 5.664 3.469
Sb 5.664 3.469 5.664
Sb 3.469 5.664 5.664
CELL_PARAMETERS angstrom
0.000 4.566 4.566
4.566 0.000 4.566
4.566 4.566 0.000
```

***

No. 4
A plane-wave DFT calculation with PBE-GGA was carried out for a relaxed Ba3Bi2Sb2 crystal. Values from VASP.

Results
total magnetic moment: 0.00 μB/cell
formation energy (no corrections): -17.974 kcal/mol of atoms
Fermi-level density of states: 0.365 states/eV/atom

```
&SYSTEM
  ibrav = 0, nat = 7, ntyp = 3
/
ATOMIC_SPECIES
Ba 137.33 Ba.upf
Bi 208.98 Bi.upf
Sb 121.76 Sb.upf
ATOMIC_POSITIONS angstrom
Ba 0.000 0.000 0.000
Ba 0.625 0.000 5.346
Ba 9.784 0.000 3.120
Bi 3.964 0.000 0.716
Bi 6.445 0.000 7.750
Sb 4.280 0.000 5.396
Sb 6.129 0.000 3.070
CELL_PARAMETERS angstrom
6.468 -2.595 0.000
6.468 2.595 0.000
-2.526 0.000 8.466
```

***

No. 5
A plane-wave DFT calculation with PBE-GGA was carried out for a relaxed BaBi2Sb crystal. Values from VASP.

Results
total magnetic moment: 0.00 μB/cell
formation energy (no corrections): -7.825 kcal/mol of atoms
Fermi-level density of states: 0.815 states/eV/atom

```
&SYSTEM
  ibrav = 0, nat = 4, ntyp = 3
/
ATOMIC_SPECIES
Ba 137.33 Ba.upf
Bi 208.98 Bi.upf
Sb 121.76 Sb.upf
ATOMIC_POSITIONS angstrom
Ba 0.000 0.000 0.000
Bi 0.000 0.000 3.576
Bi 0.000 0.000 13.768
Sb 0.000 0.000 8.672
CELL_PARAMETERS angstrom
2.765 1.596 5.781
-2.765 1.596 5.781
0.000 -3.193 5.781
```

***

No. 6
A plane-wave DFT calculation with PBE-GGA was carried out for a relaxed Ba2Sc2Bi2Sb crystal. Values from VASP.

Results
total magnetic moment: 0.00 μB/cell
formation energy (no corrections): -15.826 kcal/mol of atoms
Fermi-level density of states: 0.722 states/eV/atom

```
&SYSTEM
  ibrav = 0, nat = 7, ntyp = 4
/
ATOMIC_SPECIES
Ba 137.33 Ba.upf
Sc 44.96 Sc.upf
Bi 208.98 Bi.upf
Sb 121.76 Sb.upf
ATOMIC_POSITIONS angstrom
Ba 0.000 0.000 3.277
Ba 0.000 0.000 14.904
Sc 2.681 0.000 0.000
Sc 0.000 2.681 0.000
Bi 0.000 0.000 6.995
Bi 0.000 0.000 11.186
Sb 0.000 0.000 0.000
CELL_PARAMETERS angstrom
-2.681 2.681 9.091
2.681 -2.681 9.091
2.681 2.681 -9.091
```

***

No. 7
A plane-wave DFT calculation with PBE-GGA was carried out for a relaxed Ba2BiSbSe5 crystal. Values from VASP.

Results
total magnetic moment: 0.00 μB/cell
formation energy (no corrections): -24.840 kcal/mol of atoms
Fermi-level density of states: 0.052 states/eV/atom

```
&SYSTEM
  ibrav = 0, nat = 18, ntyp = 4
/
ATOMIC_SPECIES
Ba 137.33 Ba.upf
Bi 208.98 Bi.upf
Sb 121.76 Sb.upf
Se 78.96 Se.upf
ATOMIC_POSITIONS angstrom
Ba 2.252 7.484 6.838
Ba 2.252 6.946 1.795
Ba 2.252 -6.946 8.633
Ba 2.252 -7.484 0.000
Bi 2.252 5.368 11.613
Bi 2.252 -5.368 4.775
Sb 2.252 0.799 3.763
Sb 2.252 -0.799 10.600
Se 2.252 8.308 12.211
Se 2.252 4.238 6.705
Se 2.252 3.326 2.753
Se 2.252 2.521 11.180
Se 2.252 0.128 8.020
Se 2.252 -0.128 1.182
Se 2.252 -2.521 4.342
Se 2.252 -3.326 9.591
Se 2.252 -4.238 13.543
Se 2.252 -8.308 5.373
CELL_PARAMETERS angstrom
2.252 -9.471 0.000
2.252 9.471 0.000
0.000 0.000 13.676
```

***

No. 8
A plane-wave DFT calculation with PBE-GGA was carried out for a relaxed Ba4SnBi2Sb2 crystal. Values from VASP.

Results
total magnetic moment: 0.00 μB/cell
formation energy (no corrections): -15.813 kcal/mol of atoms
Fermi-level density of states: 0.564 states/eV/atom

```
&SYSTEM
  ibrav = 0, nat = 9, ntyp = 4
/
ATOMIC_SPECIES
Ba 137.33 Ba.upf
Sn 118.71 Sn.upf
Bi 208.98 Bi.upf
Sb 121.76 Sb.upf
ATOMIC_POSITIONS angstrom
Ba 5.379 2.689 3.931
Ba 9.144 2.689 0.907
Ba 5.379 -2.689 3.931
Ba 9.144 -2.689 0.907
Sn -0.024 0.000 2.419
Bi 6.013 0.000 1.457
Bi 8.510 0.000 3.381
Sb 3.161 0.000 3.154
Sb 11.362 0.000 1.684
CELL_PARAMETERS angstrom
7.285 -5.110 0.000
7.285 5.110 0.000
-0.047 0.000 4.838
```

***

No. 9
A plane-wave DFT calculation with PBE-GGA was carried out for a relaxed Ba2Sn2BiSb2 crystal. Values from VASP.

Results
total magnetic moment: 0.00 μB/cell
formation energy (no corrections): -10.813 kcal/mol of atoms
Fermi-level density of states: 0.411 states/eV/atom

```
&SYSTEM
  ibrav = 0, nat = 7, ntyp = 4
/
ATOMIC_SPECIES
Ba 137.33 Ba.upf
Sn 118.71 Sn.upf
Bi 208.98 Bi.upf
Sb 121.76 Sb.upf
ATOMIC_POSITIONS angstrom
Ba -0.850 0.000 2.251
Ba 7.989 0.000 5.852
Sn 2.542 0.000 1.133
Sn 4.596 0.000 6.970
Bi 3.569 0.000 4.051
Sb -0.202 0.000 7.108
Sb 7.340 0.000 0.994
CELL_PARAMETERS angstrom
5.917 -2.840 0.000
5.917 2.840 0.000
-4.695 0.000 8.103
```

***

No. 10
A plane-wave DFT calculation with PBE-GGA was carried out for a relaxed BaSnBiSb crystal. Values from VASP.

Results
total magnetic moment: 0.00 μB/cell
formation energy (no corrections): -9.966 kcal/mol of atoms
Fermi-level density of states: 0.138 states/eV/atom

```
&SYSTEM
  ibrav = 0, nat = 4, ntyp = 4
/
ATOMIC_SPECIES
Ba 137.33 Ba.upf
Sn 118.71 Sn.upf
Bi 208.98 Bi.upf
Sb 121.76 Sb.upf
ATOMIC_POSITIONS angstrom
Ba 0.000 0.000 0.000
Sn 0.000 2.479 3.167
Bi 0.000 0.000 4.941
Sb 0.000 0.000 8.056
CELL_PARAMETERS angstrom
-2.382 2.479 6.697
2.382 -2.479 6.697
2.382 2.479 -6.697
```

***

No. 11
A plane-wave DFT calculation with PBE-GGA was carried out for a relaxed Ba2Sr2BiSb2 crystal. Values from VASP.

Results
total magnetic moment: 0.00 μB/cell
formation energy (no corrections): -19.945 kcal/mol of atoms
Fermi-level density of states: 0.369 states/eV/atom

```
&SYSTEM
  ibrav = 0, nat = 7, ntyp = 4
/
ATOMIC_SPECIES
Ba 137.33 Ba.upf
Sr 87.62 Sr.upf
Bi 208.98 Bi.upf
Sb 121.76 Sb.upf
ATOMIC_POSITIONS angstrom
Ba -0.553 0.000 1.863
Ba 13.535 0.000 6.702
Sr 4.229 0.000 1.771
Sr 8.753 0.000 6.794
Bi 6.491 0.000 4.283
Sb 2.200 0.000 7.922
Sb 10.782 0.000 0.644
CELL_PARAMETERS angstrom
8.692 -2.200 0.000
8.692 2.200 0.000
-4.402 0.000 8.566
```

***

No. 12
A plane-wave DFT calculation with PBE-GGA was carried out for a relaxed BaSr2BiSb crystal. Values from VASP.

Results
total magnetic moment: 0.00 μB/cell
formation energy (no corrections): -18.048 kcal/mol of atoms

```
&SYSTEM
  ibrav = 0, nat = 5, ntyp = 4
/
ATOMIC_SPECIES
Ba 137.33 Ba.upf
Sr 87.62 Sr.upf
Bi 208.98 Bi.upf
Sb 121.76 Sb.upf
ATOMIC_POSITIONS angstrom
Ba 0.000 0.000 0.000
Sr 0.000 2.840 3.277
Sr 2.840 0.000 3.277
Bi 2.840 2.840 1.189
Sb 0.000 0.000 4.723
CELL_PARAMETERS angstrom
5.681 0.000 0.000
0.000 5.681 0.000
0.000 0.000 8.014
```

***

> What is the total magnetic moment in the eleventh record?

0.00 μB/cell